(1)
PBE Ba2PrCuO5, optimized geometry; N(E_F) = 11.049 states/eV/cell; formation energy without anion corrections = -49.2 kcal/mol of atoms
1.0
1.867 -7.338 0.000
1.867 7.338 0.000
0.000 0.000 12.179
Ba Pr Cu O
4 2 2 10
direct
0.103 0.897 0.500
0.136 0.864 0.180
0.864 0.136 0.680
0.897 0.103 0.000
0.196 0.804 0.884
0.804 0.196 0.384
0.433 0.567 0.220
0.567 0.433 0.720
0.053 0.947 0.759
0.286 0.714 0.510
0.310 0.690 0.259
0.349 0.651 0.856
0.486 0.514 0.605
0.514 0.486 0.105
0.651 0.349 0.356
0.690 0.310 0.759
0.714 0.286 0.010
0.947 0.053 0.259

---

(2)
PBE Ho4Cd2InRu, optimized geometry; N(E_F) = 5.399 states/eV/cell; formation enthalpy at 0 K = -302 kJ/mol of formula units
1.0
2.582 1.491 8.347
-2.582 1.491 8.347
0.000 -2.982 8.347
Ho Cd In Ru
4 2 1 1
direct
0.114 0.114 0.114
0.368 0.368 0.368
0.632 0.632 0.632
0.886 0.886 0.886
0.244 0.244 0.244
0.756 0.756 0.756
0.500 0.500 0.500
0.000 0.000 0.000

---

(3)
PBE BeInAg2, optimized geometry; energy above the lowest structure with this stoichiometry = 125 meV per atom; N(E_F) = 2.167 states/eV/cell; formation enthalpy at 0 K = 102 kJ/mol of formula units
1.0
1.510 0.872 8.752
-1.510 0.872 8.752
0.000 -1.744 8.752
Be In Ag
1 1 2
direct
0.000 0.000 0.000
0.500 0.500 0.500
0.264 0.264 0.264
0.736 0.736 0.736

---

(4)
PBE Sm12Dy5Mg2, optimized geometry; N(E_F) = 29.329 states/eV/cell; formation enthalpy at 0 K = 174 kJ/mol of formula units
1.0
7.864 -4.597 0.000
7.864 4.597 0.000
-0.343 0.000 8.527
Sm Dy Mg
12 5 2
direct
0.059 0.059 0.339
0.067 0.679 0.321
0.167 0.536 0.763
0.321 0.933 0.679
0.420 0.420 0.118
0.464 0.833 0.237
0.536 0.167 0.763
0.580 0.580 0.882
0.679 0.067 0.321
0.833 0.464 0.237
0.933 0.321 0.679
0.941 0.941 0.661
0.203 0.203 0.025
0.268 0.268 0.428
0.500 0.500 0.500
0.732 0.732 0.572
0.797 0.797 0.975
0.165 0.835 0.000
0.835 0.165 0.000

---

(5)
PBE BaReN3, optimized geometry; N(E_F) = 0.000 states/eV/cell; formation energy without anion corrections = -4.7 kcal/mol of atoms
1.0
5.059 0.000 0.000
-1.364 6.010 0.000
-1.748 -2.482 5.633
Ba Re N
2 2 6
direct
0.000 0.000 0.000
0.446 0.363 0.681
0.443 0.739 0.320
0.873 0.553 0.339
0.189 0.743 0.653
0.433 0.875 0.658
0.447 0.413 0.262
0.645 0.052 0.357
0.862 0.234 0.405
0.993 0.592 0.101

---

(6)
PBE TmZn2Ag3, optimized geometry; energy above the lowest structure with this stoichiometry = 61 meV per atom; N(E_F) = 7.601 states/eV/cell; formation enthalpy at 0 K = -74 kJ/mol of formula units
1.0
4.819 -4.393 0.000
4.819 4.393 0.000
0.000 0.000 5.391
Tm Zn Ag
2 4 6
direct
0.143 0.857 0.750
0.857 0.143 0.250
0.256 0.256 0.000
0.256 0.256 0.500
0.744 0.744 0.000
0.744 0.744 0.500
0.079 0.607 0.250
0.393 0.921 0.250
0.484 0.516 0.750
0.516 0.484 0.250
0.607 0.079 0.750
0.921 0.393 0.750

---

(7)
PBE PrMg3Ag3, optimized geometry; energy above the lowest structure with this stoichiometry = 427 meV per atom; N(E_F) = 9.253 states/eV/cell; formation enthalpy at 0 K = 162 kJ/mol of formula units
1.0
7.248 0.000 0.000
0.000 7.248 0.000
0.000 0.000 7.248
Pr Mg Ag
2 6 6
direct
0.000 0.000 0.000
0.500 0.500 0.500
0.000 0.250 0.500
0.000 0.750 0.500
0.250 0.500 0.000
0.500 0.000 0.250
0.500 0.000 0.750
0.750 0.500 0.000
0.000 0.500 0.250
0.000 0.500 0.750
0.250 0.000 0.500
0.500 0.250 0.000
0.500 0.750 0.000
0.750 0.000 0.500

---

(8)
PBE P2CF, optimized geometry; energy above the lowest structure with this stoichiometry = 613 meV per atom; N(E_F) = 1.113 states/eV/cell; formation energy without anion corrections = 24.9 kcal/mol of atoms
1.0
0.000 2.797 2.797
2.797 0.000 2.797
2.797 2.797 0.000
P C F
2 1 1
direct
0.250 0.250 0.250
0.750 0.750 0.750
0.000 0.000 0.000
0.500 0.500 0.500

---

(9)
PBE Pm2ErSn3Pt4, optimized geometry; N(E_F) = 7.559 states/eV/cell; formation enthalpy at 0 K = -875 kJ/mol of formula units
1.0
4.573 0.000 0.000
0.000 4.573 0.000
0.000 0.000 11.149
Pm Er Sn Pt
2 1 3 4
direct
0.000 0.500 0.218
0.500 0.000 0.782
0.000 0.000 0.500
0.000 0.500 0.874
0.500 0.000 0.126
0.500 0.500 0.500
0.000 0.000 0.000
0.000 0.500 0.641
0.500 0.000 0.359
0.500 0.500 0.000

---

(10)
PBE La2VInC, optimized geometry; N(E_F) = 2.750 states/eV/cell; formation enthalpy at 0 K = -101 kJ/mol of formula units
1.0
5.422 0.000 0.000
0.000 5.422 0.000
0.000 0.000 4.073
La V In C
2 1 1 1
direct
0.000 0.500 0.000
0.500 0.000 0.000
0.000 0.000 0.500
0.500 0.500 0.500
0.000 0.000 0.000

---

(11)
PBE AuSe2NO, optimized geometry; energy above the lowest structure with this stoichiometry = 261 meV per atom; N(E_F) = 5.115 states/eV/cell; formation energy without anion corrections = 37.8 kcal/mol of atoms
1.0
5.384 0.000 0.000
0.000 5.384 0.000
0.000 0.000 3.732
Au Se N O
1 2 1 1
direct
0.000 0.000 0.000
0.000 0.500 0.000
0.500 0.000 0.000
0.000 0.000 0.500
0.500 0.500 0.500

---

(12)
PBE Pr2Pd3Pt2, optimized geometry; N(E_F) = 3.905 states/eV/cell; formation enthalpy at 0 K = -430 kJ/mol of formula units
1.0
4.942 -2.064 0.000
4.942 2.064 0.000
-3.990 0.000 7.374
Pr Pd Pt
2 3 2
direct
0.197 0.197 0.268
0.803 0.803 0.732
0.486 0.486 0.654
0.500 0.500 0.000
0.514 0.514 0.346
0.157 0.157 0.898
0.843 0.843 0.102

---

> Which of these has the highest N(E_F)?

Sm12Dy5Mg2